Compound: Np2U5S12
Source: Alexandria
Functional: PBE-GGA
Structure: relaxed

Cell and atoms, written as CIF:
```
data_Np2U5S12
_chemical_formula_sum 'Np4 U10 S24'
_cell_length_a 15.279
_cell_length_b 7.135
_cell_length_c 8.821
_cell_angle_alpha 90.00
_cell_angle_beta 106.55
_cell_angle_gamma 90.00
_symmetry_space_group_name_H-M 'C 1 2/m 1'
_symmetry_Int_Tables_number 12
loop_
_symmetry_equiv_pos_as_xyz
'x,y,z'
'-x,-y,-z'
'-x,y,-z'
'x,-y,z'
'x+1/2,y+1/2,z'
'-x+1/2,-y+1/2,-z'
'-x+1/2,y+1/2,-z'
'x+1/2,-y+1/2,z'
loop_
_atom_site_label
_atom_site_fract_x
_atom_site_fract_y
_atom_site_fract_z
Np1 0.000 0.234 0.000
U1 0.000 0.500 0.500
U2 0.182 0.000 0.827
U3 0.201 0.000 0.358
S1 0.006 0.000 0.249
S2 0.024 0.500 0.807
S3 0.150 0.252 0.562
S4 0.181 0.232 0.101
```

Properties
Volume   24.26 Å³ per atom
Density of states at the Fermi level   98.5 states/eV per cell
Formation energy without anion corrections   -1.261 eV per atom